Entry from Alexandria: crystalline YErAg2Se4 at its relaxed geometry (PBE-GGA).

Unit cell a=6.907 b=4.159 c=7.199 alpha=90.00 beta=109.95 gamma=90.00
Element x y z (fractional)
Y 0.000 0.000 0.000
Er 0.000 0.500 0.500
Ag 0.500 0.000 0.500
Ag 0.500 0.500 0.000
Se 0.244 0.000 0.744
Se 0.245 0.500 0.249
Se 0.755 0.500 0.751
Se 0.756 0.000 0.256

## Properties
Total magnetic moment   0.000 μB per formula unit
Crystal system   monoclinic
ΔE_f (raw)   -1.166 eV per atom
V   24.30 Å³/atom
Space-group type   No. 10
Mass density   6728 kg/m3